# 1
Material: Sm16Y6Er7
Method: DFT, PBE-GGA
State: optimized geometry

Cell: 11.209 11.209 11.209 Å, 60.00 60.00 60.00°
Fractional coordinates of all 29 atoms:
1 Sm 0.046 0.651 0.651
2 Sm 0.123 0.123 0.123
3 Sm 0.123 0.123 0.630
4 Sm 0.123 0.630 0.123
5 Sm 0.349 0.349 0.349
6 Sm 0.349 0.349 0.954
7 Sm 0.349 0.954 0.349
8 Sm 0.370 0.877 0.877
9 Sm 0.630 0.123 0.123
10 Sm 0.651 0.046 0.651
11 Sm 0.651 0.651 0.046
12 Sm 0.651 0.651 0.651
13 Sm 0.877 0.370 0.877
14 Sm 0.877 0.877 0.370
15 Sm 0.877 0.877 0.877
16 Sm 0.954 0.349 0.349
17 Y 0.275 0.275 0.725
18 Y 0.275 0.725 0.275
19 Y 0.275 0.725 0.725
20 Y 0.725 0.275 0.275
21 Y 0.725 0.275 0.725
22 Y 0.725 0.725 0.275
23 Er 0.000 0.000 0.000
24 Er 0.000 0.000 0.500
25 Er 0.000 0.500 0.000
26 Er 0.000 0.500 0.500
27 Er 0.500 0.000 0.000
28 Er 0.500 0.000 0.500
29 Er 0.500 0.500 0.000

Results
E_form   0.204 eV/atom
V   995.7 Å³ per cell

# 2
Material: SmY5Er12
Method: DFT, PBE-GGA
State: optimized geometry

Cell: 10.598 10.598 4.989 Å, 90.00 90.00 90.11°
Fractional coordinates of all 18 atoms:
1 Sm 0.000 0.000 0.000
2 Y 0.167 0.833 0.500
3 Y 0.334 0.666 0.000
4 Y 0.500 0.500 0.500
5 Y 0.666 0.334 0.000
6 Y 0.833 0.167 0.500
7 Er 0.001 0.335 0.000
8 Er 0.166 0.499 0.500
9 Er 0.168 0.168 0.500
10 Er 0.332 0.332 0.000
11 Er 0.335 0.001 0.000
12 Er 0.499 0.166 0.500
13 Er 0.501 0.834 0.500
14 Er 0.665 0.999 0.000
15 Er 0.668 0.668 0.000
16 Er 0.832 0.832 0.500
17 Er 0.834 0.501 0.500
18 Er 0.999 0.665 0.000

Results
E_form   0.025 eV/atom
V   560.4 Å³ per cell

# 3
Material: Sm12Y6Er
Method: DFT, PBE-GGA
State: optimized geometry

Cell: 8.639 8.639 8.639 Å, 89.16 89.16 89.16°
Fractional coordinates of all 19 atoms:
1 Sm 0.017 0.360 0.197
2 Sm 0.197 0.017 0.360
3 Sm 0.222 0.566 0.462
4 Sm 0.360 0.197 0.017
5 Sm 0.434 0.538 0.778
6 Sm 0.462 0.222 0.566
7 Sm 0.538 0.778 0.434
8 Sm 0.566 0.462 0.222
9 Sm 0.640 0.803 0.983
10 Sm 0.778 0.434 0.538
11 Sm 0.803 0.983 0.640
12 Sm 0.983 0.640 0.803
13 Y 0.097 0.261 0.700
14 Y 0.261 0.700 0.097
15 Y 0.300 0.903 0.739
16 Y 0.700 0.097 0.261
17 Y 0.739 0.300 0.903
18 Y 0.903 0.739 0.300
19 Er 0.000 0.000 0.000

Results
E_form   0.143 eV/atom
Excess energy over the best structure of this formula in the dataset   0.000 eV per atom
V   644.5 Å³ per cell

# 4
Material: Sm12YEr2
Method: DFT, PBE-GGA
State: optimized geometry

Cell: 6.478 6.478 25.376 Å, 90.00 90.00 90.00°
Fractional coordinates of all 30 atoms:
1 Sm 0.067 0.567 0.116
2 Sm 0.067 0.933 0.884
3 Sm 0.082 0.582 0.562
4 Sm 0.082 0.918 0.438
5 Sm 0.250 0.250 0.216
6 Sm 0.250 0.250 0.338
7 Sm 0.250 0.250 0.662
8 Sm 0.250 0.250 0.784
9 Sm 0.418 0.582 0.438
10 Sm 0.418 0.918 0.562
11 Sm 0.433 0.567 0.884
12 Sm 0.433 0.933 0.116
13 Sm 0.567 0.067 0.884
14 Sm 0.567 0.433 0.116
15 Sm 0.582 0.082 0.438
16 Sm 0.582 0.418 0.562
17 Sm 0.750 0.750 0.216
18 Sm 0.750 0.750 0.338
19 Sm 0.750 0.750 0.662
20 Sm 0.750 0.750 0.784
21 Sm 0.918 0.082 0.562
22 Sm 0.918 0.418 0.438
23 Sm 0.933 0.067 0.116
24 Sm 0.933 0.433 0.884
25 Y 0.250 0.750 0.000
26 Y 0.750 0.250 0.000
27 Er 0.250 0.750 0.274
28 Er 0.250 0.750 0.726
29 Er 0.750 0.250 0.274
30 Er 0.750 0.250 0.726

Results
E_form   0.326 eV/atom
V   1065.0 Å³ per cell